Entry 1:
# SrBeSe3 | the Alexandria database | PBE | relaxed
# Excess energy over the best structure of this formula in the dataset (meV/atom): 0.0
# E_form (uncorrected) (eV/atom): -0.69
# N(E_F) (states/eV per atom): 1.03
# E (eV per atom): -3.864
data_SrBeSe3
_cell_length_a 4.811
_cell_length_b 4.811
_cell_length_c 4.811
_cell_angle_alpha 90.00
_cell_angle_beta 90.00
_cell_angle_gamma 90.00
_space_group_name_H-M_alt 'P m -3 m'
_space_group_IT_number 221
_space_group_name_Hall '-P 4 2 3'
loop_
_atom_site_label
_atom_site_type_symbol
_atom_site_fract_x
_atom_site_fract_y
_atom_site_fract_z
Sr1 Sr 0.000 0.000 0.000
Be1 Be 0.500 0.500 0.500
Se1 Se 0.000 0.500 0.500

Entry 2:
# KZrFe | the Alexandria database | PBE | relaxed
# Excess energy over the best structure of this formula in the dataset (meV/atom): 1534.8
# N(E_F) (states/eV per atom): 1.63
# E (eV per atom): -3.901
# Formation energy from the elements (meV/atom): 2135.1
data_KZrFe
_cell_length_a 6.813
_cell_length_b 6.813
_cell_length_c 6.813
_cell_angle_alpha 90.00
_cell_angle_beta 90.00
_cell_angle_gamma 90.00
_space_group_name_H-M_alt 'F -4 3 m'
_space_group_IT_number 216
_space_group_name_Hall 'F -4 2 3'
loop_
_atom_site_label
_atom_site_type_symbol
_atom_site_fract_x
_atom_site_fract_y
_atom_site_fract_z
K1 K 0.000 0.000 0.000
Zr1 Zr 0.250 0.250 0.750
Fe1 Fe 0.250 0.250 0.250

Entry 3:
# YAg2P2 | the Alexandria database | PBE | relaxed
# Excess energy over the best structure of this formula in the dataset (meV/atom): 0.0
# N(E_F) (states/eV per atom): 0.38
# E (eV per atom): -5.015
# Formation energy from the elements (meV/atom): -418.2
data_YAg2P2
_cell_length_a 3.943
_cell_length_b 3.943
_cell_length_c 12.099
_cell_angle_alpha 90.00
_cell_angle_beta 90.00
_cell_angle_gamma 90.00
_space_group_name_H-M_alt 'I 4/m m m'
_space_group_IT_number 139
_space_group_name_Hall '-I 4 2'
loop_
_atom_site_label
_atom_site_type_symbol
_atom_site_fract_x
_atom_site_fract_y
_atom_site_fract_z
Y1 Y 0.000 0.000 0.000
Ag1 Ag 0.000 0.500 0.250
P1 P 0.000 0.000 0.402

Entry 4:
# ErHf2Mn9 | the Alexandria database | PBE | relaxed
# N(E_F) (states/eV per atom): 1.13
# E (eV per atom): -9.033
# Formation energy from the elements (meV/atom): -116.8
data_ErHf2Mn9
_cell_length_a 5.0358
_cell_length_b 5.0358
_cell_length_c 23.4323
_cell_angle_alpha 90.00
_cell_angle_beta 90.00
_cell_angle_gamma 120.00
_space_group_name_H-M_alt 'R -3 m'
_space_group_IT_number 166
_space_group_name_Hall '-R 3 2"'
loop_
_atom_site_label
_atom_site_type_symbol
_atom_site_fract_x
_atom_site_fract_y
_atom_site_fract_z
Er1 Er 0.0000 0.0000 0.0000
Hf1 Hf 0.0000 0.0000 0.1433
Mn1 Mn 0.0000 0.0000 0.3338
Mn2 Mn 0.0000 0.0000 0.5000
Mn3 Mn 0.0038 0.5019 0.9151

Entry 5:
# CoRuAu3 | the Alexandria database | PBE | relaxed
# Excess energy over the best structure of this formula in the dataset (meV/atom): 0.0
# N(E_F) (states/eV per atom): 1.78
# E (eV per atom): -3.953
# Formation energy from the elements (meV/atom): 1290.1
data_CoRuAu3
_cell_length_a 4.703
_cell_length_b 4.703
_cell_length_c 4.703
_cell_angle_alpha 90.00
_cell_angle_beta 90.00
_cell_angle_gamma 90.00
_space_group_name_H-M_alt 'P m -3 m'
_space_group_IT_number 221
_space_group_name_Hall '-P 4 2 3'
loop_
_atom_site_label
_atom_site_type_symbol
_atom_site_fract_x
_atom_site_fract_y
_atom_site_fract_z
Co1 Co 0.000 0.000 0.000
Ru1 Ru 0.500 0.500 0.500
Au1 Au 0.000 0.000 0.500

Entry 6:
# CdSbRh2 | the Alexandria database | PBE | relaxed
# E_form (uncorrected) (eV/atom): -0.08
# N(E_F) (states/eV per atom): 0.81
# E (eV per atom): -5.011
data_CdSbRh2
_cell_length_a 3.910
_cell_length_b 3.910
_cell_length_c 9.086
_cell_angle_alpha 90.00
_cell_angle_beta 90.00
_cell_angle_gamma 90.00
_space_group_name_H-M_alt 'I -4 m 2'
_space_group_IT_number 119
_space_group_name_Hall 'I -4 -2'
loop_
_atom_site_label
_atom_site_type_symbol
_atom_site_fract_x
_atom_site_fract_y
_atom_site_fract_z
Cd1 Cd 0.000 0.000 0.000
Sb1 Sb 0.000 0.500 0.250
Rh1 Rh 0.000 0.000 0.500
Rh2 Rh 0.000 0.500 0.750

Entry 7:
# Sr3CaBr6Cl2 | the Alexandria database | PBE | relaxed
# E_form (uncorrected) (eV/atom): -2.17
# N(E_F) (states/eV per atom): 0.00
# E (eV per atom): -3.898
data_Sr3CaBr6Cl2
_cell_length_a 15.160
_cell_length_b 8.835
_cell_length_c 6.554
_cell_angle_alpha 90.00
_cell_angle_beta 93.80
_cell_angle_gamma 90.00
_space_group_name_H-M_alt 'C 1 2/m 1'
_space_group_IT_number 12
loop_
_space_group_symop_operation_xyz
'x,y,z'
'-x,-y,-z'
'-x,y,-z'
'x,-y,z'
'x+1/2,y+1/2,z'
'-x+1/2,-y+1/2,-z'
'-x+1/2,y+1/2,-z'
'x+1/2,-y+1/2,z'
loop_
_atom_site_label
_atom_site_type_symbol
_atom_site_fract_x
_atom_site_fract_y
_atom_site_fract_z
Sr1 Sr 0.000 0.000 0.000
Sr2 Sr 0.250 0.250 0.500
Ca1 Ca 0.000 0.500 0.500
Br1 Br 0.085 0.257 0.750
Br2 Br 0.153 0.500 0.258
Cl1 Cl 0.165 0.000 0.265

Entry 8:
# Ta2SiIr | the Alexandria database | PBE | relaxed
# E_form (uncorrected) (eV/atom): -0.37
# N(E_F) (states/eV per atom): 0.69
# E (eV per atom): -9.872
data_Ta2SiIr
_cell_length_a 3.604
_cell_length_b 4.161
_cell_length_c 4.226
_cell_angle_alpha 90.00
_cell_angle_beta 90.00
_cell_angle_gamma 90.00
_space_group_name_H-M_alt 'P m m m'
_space_group_IT_number 47
loop_
_space_group_symop_operation_xyz
'x,y,z'
'-x,-y,-z'
'-x,-y,z'
'x,y,-z'
'x,-y,-z'
'-x,y,z'
'-x,y,-z'
'x,-y,z'
loop_
_atom_site_label
_atom_site_type_symbol
_atom_site_fract_x
_atom_site_fract_y
_atom_site_fract_z
Ta1 Ta 0.000 0.000 0.000
Ta2 Ta 0.500 0.000 0.500
Si1 Si 0.000 0.500 0.500
Ir1 Ir 0.500 0.500 0.000